(1)
CaPm2Bi2: optimized geometry, PBE-GGA.

Lattice parameters (Å, degrees): 4.366 8.611 8.611 90.00 90.00 90.00
Positions (direct):
Ca: 0.000 0.000 0.000
Ca: 0.000 0.500 0.500
Pm: 0.500 0.154 0.654
Pm: 0.500 0.654 0.846
Pm: 0.500 0.846 0.346
Pm: 0.500 0.346 0.154
Bi: 0.000 0.351 0.851
Bi: 0.000 0.851 0.649
Bi: 0.000 0.649 0.149
Bi: 0.000 0.149 0.351

Properties
E = -4.65 eV/atom
Space group = No. 127

(2)
Sr3AcTe4: optimized geometry, PBE-GGA.

Lattice parameters (Å, degrees): 4.727 8.208 8.208 109.40 90.00 90.00
Positions (direct):
Sr: 0.000 0.000 0.500
Sr: 0.500 0.500 0.500
Sr: 0.000 0.500 0.000
Ac: 0.500 0.000 0.000
Te: 0.000 0.251 0.251
Te: 0.500 0.750 0.250
Te: 0.000 0.749 0.749
Te: 0.500 0.250 0.750

Properties
Formation energy without anion corrections = -1.6666 eV/atom
Offset from the most stable computed form = 0 meV/atom
Space group = No. 65